one) # SbPtAu

Crystalline SbPtAu at its relaxed geometry (PBE-GGA, Alexandria).

The structure in CIF format:
```
data_SbPtAu
_chemical_formula_sum 'Sb4 Pt4 Au4'
_symmetry_space_group_name_H-M 'C 1 2/m 1'
_symmetry_Int_Tables_number 12
_cell_length_a 11.4625
_cell_length_b 3.8854
_cell_length_c 5.7719
_cell_angle_alpha 90.00
_cell_angle_beta 106.82
_cell_angle_gamma 90.00
loop_
_symmetry_equiv_pos_as_xyz
'x,y,z'
'-x,-y,-z'
'-x,y,-z'
'x,-y,z'
'x+1/2,y+1/2,z'
'-x+1/2,-y+1/2,-z'
'-x+1/2,y+1/2,-z'
'x+1/2,-y+1/2,z'
loop_
_atom_site_label
_atom_site_type_symbol
_atom_site_fract_x
_atom_site_fract_y
_atom_site_fract_z
Sb1 Sb 0.1335 0.0000 0.3303
Pt1 Pt 0.2405 0.0000 0.8112
Au1 Au 0.0551 0.5000 0.7689
```

two) # SbPtAu

Crystalline SbPtAu at its relaxed geometry (PBE-GGA, Alexandria).

The structure in CIF format:
```
data_SbPtAu
_chemical_formula_sum 'Sb1 Pt1 Au1'
_symmetry_space_group_name_H-M 'P 3 m 1'
_symmetry_Int_Tables_number 156
_cell_length_a 3.9081
_cell_length_b 3.9081
_cell_length_c 4.8713
_cell_angle_alpha 90.00
_cell_angle_beta 90.00
_cell_angle_gamma 120.00
loop_
_symmetry_equiv_pos_as_xyz
'x,y,z'
'-y,x-y,z'
'-x+y,-x,z'
'-y,-x,z'
'-x+y,y,z'
'x,x-y,z'
loop_
_atom_site_label
_atom_site_type_symbol
_atom_site_fract_x
_atom_site_fract_y
_atom_site_fract_z
Sb1 Sb 0.0000 0.0000 0.0000
Pt1 Pt 0.3333 0.6667 0.7111
Au1 Au 0.6667 0.3333 0.3824
```

Name the least stable of them. two).